! Cs2SmU3O12 | Alexandria via LeMat-Bulk | PBE | relaxed; values from VASP
&SYSTEM
  ibrav = 0, nat = 18, ntyp = 4
/
ATOMIC_SPECIES
Cs 132.91 Cs.upf
Sm 150.36 Sm.upf
U 238.03 U.upf
O 16.00 O.upf
ATOMIC_POSITIONS angstrom
Cs 0.0000 0.0000 2.3004
Cs 0.0000 0.0000 16.9826
Sm 0.0000 0.0000 9.6415
U -2.0281 -1.1709 6.4276
U -2.0281 1.1709 12.8553
U 0.0000 2.3419 6.4276
O -1.6888 -0.9750 8.3606
O 0.0000 -1.7743 6.1515
O -1.5366 0.8872 6.1515
O 0.0000 -1.9501 10.9223
O -1.5366 -0.8872 13.1314
O -1.6888 0.9750 10.9223
O 1.6888 -0.9750 8.3606
O 1.5366 0.8872 6.1515
O 0.0000 1.9501 8.3606
O 1.5366 -0.8872 13.1314
O 0.0000 1.7744 13.1314
O 1.6888 0.9750 10.9223
CELL_PARAMETERS angstrom
4.0563 2.3419 6.4276
-4.0563 2.3419 6.4276
0.0000 -4.6838 6.4276
! * N(E_F): 14.99 states/eV/cell
! * symmetry: R-3m
! * V: 366.3 Å³ per cell
! * M_tot: 0.000 μB per atom
! * formation energy (no corrections): -2.90 eV/atom